(1)
Cs2YBr (PBE, relaxed); ΔE_f (raw) = 0.1025 eV per atom; crystal system = cubic
1.0
-4.3497 -5.3058 -0.6188
-6.7028 0.8676 1.3322
-4.5781 -0.1186 -5.1460
Br Cs Y
1 2 1
Cartesian
0.0000 0.0000 0.0000
-3.9077 -1.1392 -1.1082
-11.7230 -3.4176 -3.3245
-7.8153 -2.2784 -2.2163

(2)
TlFeP2 (PBE, relaxed); formation enthalpy at 0 K = 0.036 eV/atom; crystal system = monoclinic
1.0
-2.3356 -0.6740 2.7535
3.5274 0.0204 2.9971
1.5238 4.7764 2.4617
Tl P Fe
1 2 1
Cartesian
0.0950 0.8622 2.7414
2.8544 3.3812 3.2489
4.7223 3.8139 4.9393
2.6206 3.2606 5.4708